# GGA+U BaCaMn4O8, relaxed
data_BaCaMn4O8
_chemical_formula_sum 'Ba1 Ca1 Mn4 O8'
_cell_length_a 5.5922
_cell_length_b 5.5922
_cell_length_c 7.6935
_cell_angle_alpha 90.00
_cell_angle_beta 90.00
_cell_angle_gamma 120.00
_space_group_name_H-M_alt 'P -3 1 m'
_space_group_IT_number 162
_space_group_name_Hall '-P 3 2'
loop_
_atom_site_label
_atom_site_type_symbol
_atom_site_fract_x
_atom_site_fract_y
_atom_site_fract_z
_atom_site_occupancy
Ba1 Ba 0.0000 0.0000 0.0000 1
Ca1 Ca 0.0000 0.0000 0.5000 1
Mn1 Mn 0.3333 0.6667 0.2449 1
O1 O 0.0000 0.3250 0.2998 1
O2 O 0.3333 0.6667 0.0000 1
# N(E_F) in states/eV per cell: 3.76
# Electronic total energy in hartree per atom: -0.2595